A geometry-optimized RbRePO2 structure, computed with GGA-PBE.

Results
Energy above the lowest structure with this stoichiometry in meV per atom: 2523.5
Symmetry: No. 123

Cell lengths 3.987, 3.987, 6.675 Å; angles 90.00, 90.00, 90.00 degrees
Positions (direct):
Rb1 0.000 0.000 0.000
Re1 0.500 0.500 0.500
P1 0.000 0.000 0.500
O1 0.000 0.500 0.000
O2 0.500 0.000 0.000

***

A geometry-optimized RbRePO2 structure, computed with GGA-PBE.

Results
Energy above the lowest structure with this stoichiometry in meV per atom: 0.0
Symmetry: No. 123

Cell lengths 4.072, 4.072, 4.725 Å; angles 90.00, 90.00, 90.00 degrees
Positions (direct):
Rb1 0.000 0.000 0.000
Re1 0.500 0.500 0.500
P1 0.500 0.500 0.000
O1 0.000 0.500 0.500
O2 0.500 0.000 0.500

***

A geometry-optimized RbP2RhO structure, computed with GGA-PBE.

Results
Energy above the lowest structure with this stoichiometry in meV per atom: 0.0
Symmetry: No. 123

Cell lengths 4.512, 4.512, 5.003 Å; angles 90.00, 90.00, 90.00 degrees
Positions (direct):
Rb1 0.000 0.000 0.000
P1 0.000 0.500 0.500
P2 0.500 0.000 0.500
Rh1 0.500 0.500 0.500
O1 0.500 0.500 0.000

***

A geometry-optimized RbP2RhO structure, computed with GGA-PBE.

Results
Energy above the lowest structure with this stoichiometry in meV per atom: 1864.4
Symmetry: No. 123

Cell lengths 5.206, 5.206, 4.078 Å; angles 90.00, 90.00, 90.00 degrees
Positions (direct):
Rb1 0.000 0.000 0.000
P1 0.000 0.500 0.000
P2 0.500 0.000 0.000
Rh1 0.500 0.500 0.500
O1 0.000 0.000 0.500

***

A geometry-optimized RbPRuO2 structure, computed with GGA-PBE.

Results
Energy above the lowest structure with this stoichiometry in meV per atom: 1949.2
Symmetry: No. 123

Cell lengths 3.951, 3.951, 7.039 Å; angles 90.00, 90.00, 90.00 degrees
Positions (direct):
Rb1 0.000 0.000 0.000
P1 0.000 0.000 0.500
Ru1 0.500 0.500 0.500
O1 0.000 0.500 0.000
O2 0.500 0.000 0.000

***

A geometry-optimized RbPRuO2 structure, computed with GGA-PBE.

Results
Energy above the lowest structure with this stoichiometry in meV per atom: 0.0
Symmetry: No. 123

Cell lengths 4.169, 4.169, 4.565 Å; angles 90.00, 90.00, 90.00 degrees
Positions (direct):
Rb1 0.000 0.000 0.000
P1 0.500 0.500 0.000
Ru1 0.500 0.500 0.500
O1 0.000 0.500 0.500
O2 0.500 0.000 0.500

***

A geometry-optimized RbPSO2 structure, computed with GGA-PBE.

Results
Symmetry: No. 123

Cell lengths 4.141, 4.141, 8.364 Å; angles 90.00, 90.00, 90.00 degrees
Positions (direct):
Rb1 0.000 0.000 0.000
P1 0.000 0.000 0.500
S1 0.500 0.500 0.500
O1 0.000 0.500 0.000
O2 0.500 0.000 0.000

***

A geometry-optimized RbPS2O structure, computed with GGA-PBE.

Results
Energy above the lowest structure with this stoichiometry in meV per atom: 89.0
Symmetry: No. 123

Cell lengths 6.156, 6.156, 3.273 Å; angles 90.00, 90.00, 90.00 degrees
Positions (direct):
Rb1 0.000 0.000 0.000
P1 0.500 0.500 0.000
S1 0.000 0.500 0.500
S2 0.500 0.000 0.500
O1 0.500 0.500 0.500

***

| no. | total energy (eV per atom) | magnetic moment (μB/f.u.) | ΔE_f (raw) (meV per atom) |
| --- | --- | --- | --- |
| 1 | -3.875 | 3.01 | 1873 |
| 2 | -6.399 | 0.00 | -650 |
| 3 | -4.625 | 0.40 | 194 |
| 4 | -2.761 | 0.04 | 2058 |
| 5 | -3.398 | 2.55 | 1716 |
| 6 | -5.347 | 0.76 | -233 |
| 7 | -2.691 | 2.25 | 1394 |
| 8 | -3.625 | 0.90 | 293 |